# 1
Here is a crystal of Zr3CdC relaxed with PBEsol from Alexandria. Energies are from SCAN.

Cell: 4.5255 4.5255 4.5255 Å, 90.00 90.00 90.00°
Last column: nearest neighbours and their distance in Å.
Fractional coordinates of all 5 atoms:
Zr 0.0000 0.0000 0.5000  2 C 2.26
Zr 0.0000 0.5000 0.0000  2 C 2.26
Zr 0.5000 0.0000 0.0000  2 C 2.26
Cd 0.5000 0.5000 0.5000  12 Zr 3.20
C 0.0000 0.0000 0.0000  6 Zr 2.26

Total magnetization = 0.0 μB/cell
VASP energy = -27.084 eV per atom
N(E_F) = 0.433 states/eV per atom
Symmetry = Pm-3m
Formation energy from the elements = -561.6 meV per atom
Calculated volume = 18.54 A^3/atom


# 2
Here is a crystal of CsTmSeCl2O3 relaxed with PBEsol from Alexandria. Energies are from SCAN.

Cell: 6.5260 6.8522 17.7314 Å, 90.00 103.42 90.00°
Last column: nearest neighbours and their distance in Å.
Fractional coordinates of all 32 atoms:
Cs 0.2426 0.2098 0.0563  1 O 3.13, 3 Cl 3.34-3.44
Cs 0.2426 0.2902 0.5563  1 O 3.13, 3 Cl 3.34-3.44
Cs 0.7574 0.7098 0.4437  1 O 3.13, 3 Cl 3.34-3.44
Cs 0.7574 0.7902 0.9437  1 O 3.13, 3 Cl 3.34-3.44
Tm 0.1349 0.6718 0.2578  5 O 2.23-2.37
Tm 0.1349 0.8282 0.7578  5 O 2.23-2.37
Tm 0.8651 0.1718 0.2422  5 O 2.23-2.37
Tm 0.8651 0.3282 0.7422  5 O 2.23-2.37
Se 0.3682 0.1820 0.2932  3 O 1.69-1.74
Se 0.3682 0.3180 0.7932  3 O 1.69-1.74
Se 0.6318 0.6820 0.2068  3 O 1.69-1.74
Se 0.6318 0.8180 0.7068  3 O 1.69-1.74
Cl 0.1300 0.6920 0.1112  1 Tm 2.60
Cl 0.1300 0.8080 0.6112  1 Tm 2.60
Cl 0.2311 0.6349 0.4075  1 Tm 2.59
Cl 0.2311 0.8651 0.9075  1 Tm 2.59
Cl 0.7689 0.1349 0.0925  1 Tm 2.59
Cl 0.7689 0.3651 0.5925  1 Tm 2.59
Cl 0.8700 0.1920 0.3888  1 Tm 2.60
Cl 0.8700 0.3080 0.8888  1 Tm 2.60
O 0.1744 0.1511 0.7512  1 Se 1.74
O 0.1744 0.3489 0.2512  1 Se 1.74
O 0.1856 0.5056 0.7700  1 Se 1.74
O 0.1856 0.9944 0.2700  1 Se 1.74
O 0.4878 0.6628 0.2742  1 Se 1.69
O 0.4878 0.8372 0.7742  1 Se 1.69
O 0.5122 0.1628 0.2258  1 Se 1.69
O 0.5122 0.3372 0.7258  1 Se 1.69
O 0.8144 0.0056 0.7300  1 Se 1.74
O 0.8144 0.4944 0.2300  1 Se 1.74
O 0.8256 0.6511 0.7488  1 Se 1.74
O 0.8256 0.8489 0.2488  1 Se 1.74

Total magnetization = 0.0 μB/cell
VASP energy = -20.297 eV per atom
N(E_F) = 0.000 states/eV per atom
Symmetry = P2_1/c
Calculated volume = 24.10 A^3/atom
Energy relative to the elements, uncorrected = -2.251 eV per atom


# 3
Here is a crystal of Li2ZnPt relaxed with PBEsol from Alexandria. Energies are from SCAN.

Cell: 4.6444 4.6444 4.5481 Å, 102.04 102.04 35.03°
Last column: nearest neighbours and their distance in Å.
Fractional coordinates of all 4 atoms:
Li 0.0000 0.0000 0.0000  5 Li 2.56-2.80, 4 Pt 2.65-2.69, 3 Zn 2.70-2.83
Li 0.2372 0.2372 0.7648  5 Li 2.56-2.80, 4 Zn 2.59-2.76, 3 Pt 2.64-2.82
Zn 0.7494 0.7494 0.2924  3 Pt 2.57-2.62, 7 Li 2.59-2.83, 2 Zn 2.80
Pt 0.4935 0.4935 0.4920  3 Zn 2.57-2.62, 7 Li 2.64-2.82, 2 Pt 2.80

Total magnetization = 0.0 μB/cell
VASP energy = -22.649 eV per atom
N(E_F) = 0.253 states/eV per atom
Symmetry = Cm
Formation energy from the elements = -527.3 meV per atom
Calculated volume = 13.74 A^3/atom


# 4
Here is a crystal of NaBeHg2Rh relaxed with PBEsol from Alexandria. Energies are from SCAN.

Cell: 4.8668 4.8668 4.3066 Å, 90.00 90.00 90.00°
Last column: nearest neighbours and their distance in Å.
Fractional coordinates of all 5 atoms:
Na 0.0000 0.0000 0.0000  2 Be 2.15
Be 0.0000 0.0000 0.5000  2 Na 2.15
Hg 0.0000 0.5000 0.0000  2 Na 2.43
Hg 0.5000 0.0000 0.0000  2 Na 2.43
Rh 0.5000 0.5000 0.5000  8 Hg 3.25, 4 Be 3.44

Total magnetization = 1.1 μB/cell
VASP energy = -34.279 eV per atom
N(E_F) = 0.550 states/eV per atom
Symmetry = P4/mmm
Formation energy from the elements = 1455.0 meV per atom
Calculated volume = 20.40 A^3/atom